(1)
Here is BePtAu2 after structural relaxation from Alexandria via LeMat-Bulk. Energies are from PBE-GGA.

a = 5.361 Å, b = 5.361 Å, c = 4.512 Å
α = 65.17°, β = 65.17°, γ = 31.35°
Element x y z (fractional)
Au (0.002, 0.002, 0.998)
Au (0.200, 0.200, 0.299)
Pt (0.805, 0.805, 0.695)
Be (0.493, 0.493, 0.509)

Summary:
- energy of formation (meV/atom) = -187.6
- DOS(E_F) (states/eV/atom) = 0.33
- space group = Cm, No. 8

---

(2)
Here is Ce4Ru2Cl5 after structural relaxation from Alexandria via LeMat-Bulk. Energies are from PBE-GGA.

a = 3.963 Å, b = 7.256 Å, c = 12.341 Å
α = 91.19°, β = 99.24°, γ = 90.00°
Element x y z (fractional)
Cl (0.886, 0.754, 0.772)
Cl (0.115, 0.768, 0.230)
Cl (0.885, 0.232, 0.770)
Cl (0.114, 0.246, 0.228)
Cl (0.500, 0.000, 0.000)
Ru (0.742, 0.596, 0.484)
Ru (0.258, 0.404, 0.516)
Ce (0.000, 0.682, 0.001)
Ce (0.651, 0.512, 0.302)
Ce (0.349, 0.488, 0.698)
Ce (0.000, 0.318, 0.999)

Summary:
- DOS(E_F) (states/eV/atom) = 1.43
- space group = C2/m, No. 12
- formation energy without anion corrections (kJ per mole of atoms) = -100.6